1.
! CsGeIr3 | the Alexandria database | GGA-PBE | optimized geometry; values from VASP
! total magnetic moment	0.22	μB per atom
! N(E_F)	5.844	states/eV/f.u.
&SYSTEM
  ibrav = 0, nat = 5, ntyp = 3
/
ATOMIC_SPECIES
Cs 132.91 Cs.upf
Ge 72.64 Ge.upf
Ir 192.22 Ir.upf
CELL_PARAMETERS angstrom
5.0200 0.0000 0.0000
0.0000 5.0200 0.0000
0.0000 0.0000 5.0200
ATOMIC_POSITIONS angstrom
Cs 0.0000 0.0000 0.0000
Ge 2.5100 2.5100 2.5100
Ir 0.0000 2.5100 0.0000
Ir 0.0000 0.0000 2.5100
Ir 2.5100 0.0000 0.0000

2.
! CsGeIr3 | the Alexandria database | GGA-PBE | optimized geometry; values from VASP
! total magnetic moment	0.00	μB per atom
! N(E_F)	6.454	states/eV/f.u.
&SYSTEM
  ibrav = 0, nat = 5, ntyp = 3
/
ATOMIC_SPECIES
Cs 132.91 Cs.upf
Ge 72.64 Ge.upf
Ir 192.22 Ir.upf
CELL_PARAMETERS angstrom
-3.4014 -0.5540 3.3258
2.0239 -4.1139 1.3847
2.6966 2.3889 3.1558
ATOMIC_POSITIONS angstrom
Cs 0.6595 -1.1395 3.9332
Ge 0.0000 0.0000 0.0000
Ir 1.0119 -2.0569 0.6923
Ir 1.3483 1.1944 1.5779
Ir -1.7007 -0.2770 1.6629

Most stable: 2. Least stable: 1.

1.
! Cs2KGe2 | the Alexandria database | GGA-PBE | optimized geometry; values from VASP
! total magnetic moment	0.22	μB per atom
! N(E_F)	4.857	states/eV/f.u.
&SYSTEM
  ibrav = 0, nat = 5, ntyp = 3
/
ATOMIC_SPECIES
Cs 132.91 Cs.upf
Ge 72.64 Ge.upf
K 39.10 K.upf
CELL_PARAMETERS angstrom
-0.6559 0.3103 -6.1951
-5.8475 -2.1091 0.5135
-5.4986 5.4658 -2.2840
ATOMIC_POSITIONS angstrom
Cs -3.8522 0.8016 -2.6920
Cs -8.1499 2.8654 -5.2736
Ge -4.7032 2.4384 -5.6600
Ge -7.2989 1.2287 -2.3057
K 0.0000 0.0000 0.0000

2.
! Cs2KGe2 | the Alexandria database | GGA-PBE | optimized geometry; values from VASP
! total magnetic moment	0.00	μB per atom
! N(E_F)	2.497	states/eV/f.u.
&SYSTEM
  ibrav = 0, nat = 10, ntyp = 3
/
ATOMIC_SPECIES
Cs 132.91 Cs.upf
K 39.10 K.upf
Ge 72.64 Ge.upf
CELL_PARAMETERS angstrom
-3.7386 0.8965 6.0613
-1.5018 -5.8135 -4.3163
8.0653 -3.5793 5.5041
ATOMIC_POSITIONS angstrom
Cs -1.0797 -1.7308 2.2715
Cs 1.2517 -5.3067 -0.0115
Cs 3.9046 -6.7655 4.9775
Cs 1.5732 -3.1896 7.2605
K -1.2727 -0.1061 6.7085
K 5.5994 -2.5767 4.8568
Ge 0.6916 -5.1471 3.7735
Ge 3.8914 -4.5934 9.9152
Ge 2.1333 -3.3492 3.4755
Ge -1.0665 -3.9029 -2.6662

3.
! Cs2KGe2 | the Alexandria database | GGA-PBE | optimized geometry; values from VASP
! total magnetic moment	0.00	μB per atom
! N(E_F)	4.950	states/eV/f.u.
&SYSTEM
  ibrav = 0, nat = 5, ntyp = 3
/
ATOMIC_SPECIES
Cs 132.91 Cs.upf
Ge 72.64 Ge.upf
K 39.10 K.upf
CELL_PARAMETERS angstrom
-3.4589 4.3700 -1.3796
-3.7634 -1.7226 3.9792
-0.3075 5.4952 6.2302
ATOMIC_POSITIONS angstrom
Cs -3.6888 5.5945 3.0752
Cs -3.8410 2.5481 5.7546
Ge -3.0853 1.9877 2.0845
Ge -4.4445 6.1549 6.7452
K 0.0000 0.0000 0.0000

Most stable: 2. Least stable: 1.

1.
! CsK2Ge2 | the Alexandria database | GGA-PBE | optimized geometry; values from VASP
! total magnetic moment	0.09	μB per atom
! N(E_F)	3.752	states/eV/f.u.
&SYSTEM
  ibrav = 0, nat = 10, ntyp = 3
/
ATOMIC_SPECIES
Cs 132.91 Cs.upf
Ge 72.64 Ge.upf
K 39.10 K.upf
CELL_PARAMETERS angstrom
9.6897 0.0000 0.0000
0.0000 9.6897 0.0000
0.0000 0.0000 3.8747
ATOMIC_POSITIONS angstrom
Cs 0.0000 0.0000 0.0000
Cs 4.8448 4.8448 0.0000
Ge 0.8891 5.7339 1.9374
Ge 5.7339 8.8006 1.9374
Ge 8.8006 3.9557 1.9374
Ge 3.9557 0.8891 1.9374
K 3.0098 7.8546 0.0000
K 7.8546 6.6799 0.0000
K 6.6799 1.8351 0.0000
K 1.8351 3.0098 0.0000

2.
! CsK2Ge2 | the Alexandria database | GGA-PBE | optimized geometry; values from VASP
! total magnetic moment	0.07	μB per atom
! N(E_F)	2.800	states/eV/f.u.
&SYSTEM
  ibrav = 0, nat = 5, ntyp = 3
/
ATOMIC_SPECIES
Cs 132.91 Cs.upf
K 39.10 K.upf
Ge 72.64 Ge.upf
CELL_PARAMETERS angstrom
-2.4331 0.3065 -3.3925
4.4799 -4.1042 -3.5838
-3.3227 -5.2729 4.4892
ATOMIC_POSITIONS angstrom
Cs 0.0000 0.0000 0.0000
K -1.2489 -5.3162 0.4154
K -0.0270 -3.7543 -2.9025
Ge -2.9110 -2.5169 -0.7223
Ge 1.6351 -6.5537 -1.7648

Most stable: 2. Least stable: 1.

1.
! CsKGe | the Alexandria database | GGA-PBE | optimized geometry; values from VASP
! total magnetic moment	0.00	μB per atom
! N(E_F)	2.781	states/eV/f.u.
&SYSTEM
  ibrav = 0, nat = 6, ntyp = 3
/
ATOMIC_SPECIES
Cs 132.91 Cs.upf
K 39.10 K.upf
Ge 72.64 Ge.upf
CELL_PARAMETERS angstrom
-3.6517 -1.0126 -5.2185
-3.2132 -4.6242 3.1446
-1.9599 8.3523 3.7036
ATOMIC_POSITIONS angstrom
Cs -4.1510 2.8936 -2.2533
Cs -2.9323 0.0525 1.4258
K -4.5235 5.6461 1.4401
K -4.3014 3.8428 5.6224
Ge -5.3379 2.5167 2.6202
Ge -4.9601 -4.2001 -0.2927

2.
! CsKGe | the Alexandria database | GGA-PBE | optimized geometry; values from VASP
! total magnetic moment	0.00	μB per atom
! N(E_F)	2.671	states/eV/f.u.
&SYSTEM
  ibrav = 0, nat = 6, ntyp = 3
/
ATOMIC_SPECIES
K 39.10 K.upf
Ge 72.64 Ge.upf
Cs 132.91 Cs.upf
CELL_PARAMETERS angstrom
8.1567 0.0000 0.0000
0.0000 5.3152 0.0000
-4.0783 -2.6576 9.3437
ATOMIC_POSITIONS angstrom
K 4.0783 0.0000 2.0288
K 0.0000 2.6576 7.3150
Ge 5.2312 2.6576 0.0000
Ge 2.9254 2.6576 0.0000
Cs 0.0000 2.6576 2.3257
Cs 4.0783 0.0000 7.0181

Most stable: 2. Least stable: 1.

1.
! CsK2GePt | the Alexandria database | GGA-PBE | optimized geometry; values from VASP
! total magnetic moment	0.06	μB per atom
! N(E_F)	2.725	states/eV/f.u.
&SYSTEM
  ibrav = 0, nat = 5, ntyp = 4
/
ATOMIC_SPECIES
Cs 132.91 Cs.upf
Ge 72.64 Ge.upf
K 39.10 K.upf
Pt 195.08 Pt.upf
CELL_PARAMETERS angstrom
-1.3433 6.2347 -0.2228
-5.8747 -1.1874 2.1917
1.5796 0.5013 4.5055
ATOMIC_POSITIONS angstrom
Cs -2.8192 2.7743 3.2372
Ge 0.7898 0.2507 2.2528
K -2.9373 -0.5937 1.0959
K -0.6717 3.1173 -0.1114
Pt 0.0000 0.0000 0.0000

2.
! CsK2GePt | the Alexandria database | GGA-PBE | optimized geometry; values from VASP
! total magnetic moment	0.06	μB per atom
! N(E_F)	2.383	states/eV/f.u.
&SYSTEM
  ibrav = 0, nat = 5, ntyp = 4
/
ATOMIC_SPECIES
Cs 132.91 Cs.upf
Ge 72.64 Ge.upf
K 39.10 K.upf
Pt 195.08 Pt.upf
CELL_PARAMETERS angstrom
-3.3160 -5.4314 -1.1862
1.7261 -2.3188 5.7919
-3.8777 1.9449 1.9344
ATOMIC_POSITIONS angstrom
Cs -2.7338 -2.9026 3.2700
Ge 0.0000 0.0000 0.0000
K 0.8631 -1.1594 2.8959
K -1.6580 -2.7157 -0.5931
Pt -1.9389 0.9725 0.9672

Most stable: 1. Least stable: 2.

1.
! CsLa3Ge | the Alexandria database | GGA-PBE | optimized geometry; values from VASP
! total magnetic moment	0.00	μB per atom
! N(E_F)	8.336	states/eV/f.u.
&SYSTEM
  ibrav = 0, nat = 5, ntyp = 3
/
ATOMIC_SPECIES
Cs 132.91 Cs.upf
Ge 72.64 Ge.upf
La 138.91 La.upf
CELL_PARAMETERS angstrom
6.0217 0.0000 0.0000
0.0000 6.0217 0.0000
0.0000 0.0000 6.0217
ATOMIC_POSITIONS angstrom
Cs 3.0108 3.0108 3.0108
Ge 0.0000 0.0000 0.0000
La 0.0000 3.0108 0.0000
La 0.0000 0.0000 3.0108
La 3.0108 0.0000 0.0000

2.
! CsLa3Ge | the Alexandria database | GGA-PBE | optimized geometry; values from VASP
! total magnetic moment	0.00	μB per atom
! N(E_F)	3.030	states/eV/f.u.
&SYSTEM
  ibrav = 0, nat = 5, ntyp = 3
/
ATOMIC_SPECIES
Cs 132.91 Cs.upf
Ge 72.64 Ge.upf
La 138.91 La.upf
CELL_PARAMETERS angstrom
5.7998 0.0000 0.0000
0.0000 5.7998 0.0000
0.0000 0.0000 5.7998
ATOMIC_POSITIONS angstrom
Cs 0.0000 0.0000 0.0000
Ge 2.8999 2.8999 2.8999
La 0.0000 2.8999 0.0000
La 0.0000 0.0000 2.8999
La 2.8999 0.0000 0.0000

Most stable: 1. Least stable: 2.